(1)
Compound: MgZnB3
Source: the Alexandria database
Functional: PBEsol
Structure: relaxed

Cell and atoms, written as CIF:
```
data_MgZnB3
_cell_length_a 4.262
_cell_length_b 4.262
_cell_length_c 4.262
_cell_angle_alpha 90.00
_cell_angle_beta 90.00
_cell_angle_gamma 90.00
_symmetry_space_group_name_H-M 'P m -3 m'
_symmetry_Int_Tables_number 221
_symmetry_space_group_name_Hall '-P 4 2 3'
loop_
_atom_site_label
_atom_site_fract_x
_atom_site_fract_y
_atom_site_fract_z
Mg1 0.000 0.000 0.000
Zn1 0.500 0.500 0.500
B1 0.000 0.000 0.500
```

Values from the calculation:
For the energy of formation from the pure elements, the calculation gives 2.32 eV/atom.

(2)
Compound: Mg2Zr2B
Source: the Alexandria database
Functional: PBEsol
Structure: relaxed

Cell and atoms, written as CIF:
```
data_Mg2Zr2B
_cell_length_a 3.519
_cell_length_b 3.519
_cell_length_c 15.334
_cell_angle_alpha 90.00
_cell_angle_beta 90.00
_cell_angle_gamma 90.00
_symmetry_space_group_name_H-M 'I 4/m m m'
_symmetry_Int_Tables_number 139
_symmetry_space_group_name_Hall '-I 4 2'
loop_
_atom_site_label
_atom_site_fract_x
_atom_site_fract_y
_atom_site_fract_z
Mg1 0.000 0.500 0.250
Zr1 0.000 0.000 0.079
B1 0.000 0.000 0.500
```

Values from the calculation:
For the energy of formation from the pure elements, the calculation gives 0.68 eV/atom.

(3)
Compound: Mn2B4Mo
Source: the Alexandria database
Functional: PBEsol
Structure: relaxed

Cell and atoms, written as CIF:
```
data_Mn2B4Mo
_cell_length_a 2.990
_cell_length_b 3.044
_cell_length_c 12.752
_cell_angle_alpha 90.00
_cell_angle_beta 90.00
_cell_angle_gamma 90.00
_symmetry_space_group_name_H-M 'I m m m'
_symmetry_Int_Tables_number 71
_symmetry_space_group_name_Hall '-I 2 2'
loop_
_atom_site_label
_atom_site_fract_x
_atom_site_fract_y
_atom_site_fract_z
Mn1 0.000 0.000 0.186
B1 0.000 0.000 0.351
B2 0.000 0.500 0.072
Mo1 0.000 0.500 0.500
```

Values from the calculation:
For the energy of formation from the pure elements, the calculation gives -0.52 eV/atom.

(4)
Compound: MnB4Mo3
Source: the Alexandria database
Functional: PBEsol
Structure: relaxed

Cell and atoms, written as CIF:
```
data_MnB4Mo3
_cell_length_a 4.423
_cell_length_b 3.040
_cell_length_c 6.148
_cell_angle_alpha 90.00
_cell_angle_beta 110.30
_cell_angle_gamma 90.00
_symmetry_space_group_name_H-M 'P 1 m 1'
_symmetry_Int_Tables_number 6
_symmetry_space_group_name_Hall 'P -2y'
loop_
_atom_site_label
_atom_site_fract_x
_atom_site_fract_y
_atom_site_fract_z
Mn1 0.000 0.000 0.000
B1 0.608 0.000 0.657
B2 0.614 0.000 0.149
B3 0.852 0.500 0.725
B4 0.860 0.500 0.204
Mo1 0.017 0.000 0.506
Mo2 0.432 0.500 0.864
Mo3 0.435 0.500 0.354
```

Values from the calculation:
For the energy of formation from the pure elements, the calculation gives -0.51 eV/atom.

(5)
Compound: Mn2BMoN
Source: the Alexandria database
Functional: PBEsol
Structure: relaxed

Cell and atoms, written as CIF:
```
data_Mn2BMoN
_cell_length_a 3.706
_cell_length_b 3.706
_cell_length_c 4.199
_cell_angle_alpha 90.00
_cell_angle_beta 90.00
_cell_angle_gamma 90.00
_symmetry_space_group_name_H-M 'P 4/m m m'
_symmetry_Int_Tables_number 123
_symmetry_space_group_name_Hall '-P 4 2'
loop_
_atom_site_label
_atom_site_fract_x
_atom_site_fract_y
_atom_site_fract_z
Mn1 0.000 0.500 0.000
B1 0.000 0.000 0.000
Mo1 0.000 0.000 0.500
N1 0.500 0.500 0.500
```

Values from the calculation:
Its uncorrected formation energy is 1.1035 eV per atom.

(6)
Compound: MnB2RhN
Source: the Alexandria database
Functional: PBEsol
Structure: relaxed

Cell and atoms, written as CIF:
```
data_MnB2RhN
_cell_length_a 3.494
_cell_length_b 3.494
_cell_length_c 3.922
_cell_angle_alpha 90.00
_cell_angle_beta 90.00
_cell_angle_gamma 90.00
_symmetry_space_group_name_H-M 'P 4/m m m'
_symmetry_Int_Tables_number 123
_symmetry_space_group_name_Hall '-P 4 2'
loop_
_atom_site_label
_atom_site_fract_x
_atom_site_fract_y
_atom_site_fract_z
Mn1 0.000 0.000 0.000
B1 0.000 0.500 0.500
Rh1 0.500 0.500 0.000
N1 0.500 0.500 0.500
```

Values from the calculation:
Its uncorrected formation energy is 1.1660 eV per atom.